DFT (GGA-PBE) results for TaV6Mo2 after structural relaxation.

POSCAR file:
```
TaV6Mo2
1.0
4.3299 -2.5179 0.0000
4.3299 2.5179 0.0000
-2.6172 0.0000 6.1986
Ta V Mo
1 6 2
direct
0.0000 0.0000 0.0000
0.1999 0.6812 0.3023
0.2457 0.2457 0.4699
0.3188 0.8001 0.6977
0.6812 0.1999 0.3023
0.7543 0.7543 0.5301
0.8001 0.3188 0.6977
0.3209 0.3209 0.8884
0.6791 0.6791 0.1116
```

## Properties
Space-group type: C2/m (12)
ΔE to the lowest computed polymorph, meV/atom: 289
Calculated formation energy, meV per atom: 231

DFT (GGA-PBE) results for ZrNiAgI2 after structural relaxation.

POSCAR file:
```
ZrNiAgI2
1.0
5.1032 0.0000 0.0000
0.0000 5.1032 0.0000
0.0000 0.0000 4.8924
Zr Ni Ag I
1 1 1 2
direct
0.0000 0.0000 0.0000
0.5000 0.5000 0.5000
0.5000 0.5000 0.0000
0.0000 0.5000 0.5000
0.5000 0.0000 0.5000
```

## Properties
Space-group type: P4/mmm (123)
Total DFT energy (no corrections), eV/atom: -3.46

DFT (GGA-PBE) results for Co2Pt7Rh2 after structural relaxation.

POSCAR file:
```
Co2Pt7Rh2
1.0
4.5122 -4.0864 0.0000
4.5122 4.0864 0.0000
-0.8381 0.0000 4.6215
Co Pt Rh
2 7 2
direct
0.1590 0.8410 0.0000
0.8410 0.1590 0.0000
0.0000 0.0000 0.5000
0.0926 0.4235 0.7609
0.3355 0.6645 0.5000
0.4235 0.0926 0.7609
0.5765 0.9074 0.2391
0.6645 0.3355 0.5000
0.9074 0.5765 0.2391
0.2472 0.2472 0.2513
0.7528 0.7528 0.7487
```

## Properties
Space-group type: C2/m (12)
Calculated formation energy, meV per atom: 48